Entry 1:
# LaYCrN4

LaYCrN4 after structural relaxation (PBE-GGA, the Alexandria database).

Calculated values
As for the uncorrected formation energy: -1135.7 meV/atom. As for the size of the total moment: 0.0 Bohr magnetons per cell.

a = 5.603 Å, b = 5.567 Å, c = 6.924 Å
α = 90.00°, β = 108.08°, γ = 90.00°
Element x y z (fractional)
La: 0.221 0.250 0.433
La: 0.779 0.750 0.567
Y: 0.295 0.250 0.962
Y: 0.705 0.750 0.038
Cr: 0.258 0.750 0.188
Cr: 0.742 0.250 0.812
N: 0.059 0.750 0.339
N: 0.082 0.750 0.937
N: 0.464 0.506 0.243
N: 0.464 0.994 0.243
N: 0.536 0.006 0.757
N: 0.536 0.494 0.757
N: 0.918 0.250 0.063
N: 0.941 0.250 0.661

Entry 2:
# La2ZnCrN

La2ZnCrN after structural relaxation (PBE-GGA, the Alexandria database).

Calculated values
Its density of states at the Fermi level is 0.886 states/eV/atom. As for the uncorrected formation energy: -559.5 meV/atom. As for the size of the total moment: 1.7 Bohr magnetons per cell.

a = 5.305 Å, b = 5.305 Å, c = 3.774 Å
α = 90.00°, β = 90.00°, γ = 90.00°
Element x y z (fractional)
La: 0.000 0.500 0.000
La: 0.500 0.000 0.000
Zn: 0.000 0.000 0.500
Cr: 0.500 0.500 0.500
N: 0.500 0.500 0.000

Entry 3:
# LaZnCrN2

LaZnCrN2 after structural relaxation (PBE-GGA, the Alexandria database).

Calculated values
Its density of states at the Fermi level is 0.650 states/eV/atom. As for the uncorrected formation energy: 1764.5 meV/atom. As for the size of the total moment: 0.1 Bohr magnetons per cell.

a = 4.191 Å, b = 4.191 Å, c = 6.643 Å
α = 90.00°, β = 90.00°, γ = 90.00°
Element x y z (fractional)
La: 0.000 0.000 0.000
Zn: 0.500 0.500 0.500
Cr: 0.000 0.000 0.500
N: 0.000 0.500 0.000
N: 0.500 0.000 0.000

Entry 4:
# LaZr2CrN4

LaZr2CrN4 after structural relaxation (PBE-GGA, the Alexandria database).

Calculated values
Its density of states at the Fermi level is 0.491 states/eV/atom. As for the uncorrected formation energy: -1322.7 meV/atom. As for the size of the total moment: 0.0 Bohr magnetons per cell.

a = 5.916 Å, b = 5.916 Å, c = 11.153 Å
α = 90.00°, β = 90.00°, γ = 147.54°
Element x y z (fractional)
La: 0.093 0.907 0.750
La: 0.907 0.093 0.250
Zr: 0.369 0.631 0.545
Zr: 0.369 0.631 0.955
Zr: 0.631 0.369 0.045
Zr: 0.631 0.369 0.455
Cr: 0.169 0.831 0.250
Cr: 0.831 0.169 0.750
N: 0.000 0.000 0.000
N: 0.000 0.000 0.500
N: 0.265 0.735 0.117
N: 0.265 0.735 0.383
N: 0.422 0.578 0.750
N: 0.578 0.422 0.250
N: 0.735 0.265 0.617
N: 0.735 0.265 0.883

Entry 5:
# Na3LaCr

Na3LaCr after structural relaxation (PBE-GGA, the Alexandria database).

Calculated values
Its density of states at the Fermi level is 2.003 states/eV/atom. Its formation energy is 717.4 kJ/mol of formula units. As for the size of the total moment: 2.4 Bohr magnetons per cell.

a = 6.395 Å, b = 6.395 Å, c = 6.395 Å
α = 90.00°, β = 90.00°, γ = 90.00°
Element x y z (fractional)
Na: 0.000 0.000 0.500
Na: 0.000 0.500 0.000
Na: 0.500 0.000 0.000
La: 0.000 0.000 0.000
Cr: 0.500 0.500 0.500

Entry 6:
# NaLaCr2

NaLaCr2 after structural relaxation (PBE-GGA, the Alexandria database).

Calculated values
The calculation puts the energy above the most stable polymorph in this dataset at 722 meV/atom. Its density of states at the Fermi level is 1.982 states/eV/atom. Its formation energy is 607.1 kJ/mol of formula units. As for the size of the total moment: 0.8 Bohr magnetons per cell.

a = 6.097 Å, b = 6.097 Å, c = 6.097 Å
α = 101.51°, β = 101.51°, γ = 126.94°
Element x y z (fractional)
Na: 0.000 0.000 0.000
Na: 0.750 0.250 0.500
La: 0.250 0.750 0.500
La: 0.500 0.500 0.000
Cr: 0.121 0.625 0.996
Cr: 0.375 0.371 0.496
Cr: 0.629 0.125 0.004
Cr: 0.875 0.879 0.504

Entry 7:
# NaLaCr3

NaLaCr3 after structural relaxation (PBE-GGA, the Alexandria database).

Calculated values
Its density of states at the Fermi level is 1.499 states/eV/atom. Its formation energy is 707.8 kJ/mol of formula units. As for the size of the total moment: 13.3 Bohr magnetons per cell.

a = 5.076 Å, b = 5.076 Å, c = 5.076 Å
α = 90.00°, β = 90.00°, γ = 90.00°
Element x y z (fractional)
Na: 0.000 0.000 0.000
La: 0.500 0.500 0.500
Cr: 0.000 0.000 0.500
Cr: 0.000 0.500 0.000
Cr: 0.500 0.000 0.000

Entry 8:
# NaLaCr2

NaLaCr2 after structural relaxation (PBE-GGA, the Alexandria database).

Calculated values
The calculation puts the energy above the most stable polymorph in this dataset at 0 meV/atom. Its density of states at the Fermi level is 0.876 states/eV/atom. Its formation energy is 328.4 kJ/mol of formula units. As for the size of the total moment: 8.5 Bohr magnetons per cell.

a = 5.217 Å, b = 5.217 Å, c = 5.217 Å
α = 60.00°, β = 60.00°, γ = 60.00°
Element x y z (fractional)
Na: 0.000 0.000 0.000
La: 0.500 0.500 0.500
Cr: 0.250 0.250 0.250
Cr: 0.750 0.750 0.750

Entry 9:
# NaLa2Cr2

NaLa2Cr2 after structural relaxation (PBE-GGA, the Alexandria database).

Calculated values
The calculation puts the energy above the most stable polymorph in this dataset at 171 meV/atom. Its density of states at the Fermi level is 1.174 states/eV/atom. Its formation energy is 326.6 kJ/mol of formula units. As for the size of the total moment: 0.8 Bohr magnetons per cell.

a = 8.949 Å, b = 8.949 Å, c = 3.266 Å
α = 90.00°, β = 90.00°, γ = 90.00°
Element x y z (fractional)
Na: 0.000 0.000 0.000
Na: 0.500 0.500 0.000
La: 0.200 0.300 0.000
La: 0.300 0.800 0.000
La: 0.700 0.200 0.000
La: 0.800 0.700 0.000
Cr: 0.073 0.573 0.500
Cr: 0.427 0.073 0.500
Cr: 0.573 0.927 0.500
Cr: 0.927 0.427 0.500

Entry 10:
# NaLa3Cr

NaLa3Cr after structural relaxation (PBE-GGA, the Alexandria database).

Calculated values
The calculation puts the energy above the most stable polymorph in this dataset at 0 meV/atom. Its density of states at the Fermi level is 1.211 states/eV/atom. Its formation energy is 155.6 kJ/mol of formula units. As for the size of the total moment: 0.0 Bohr magnetons per cell.

a = 5.473 Å, b = 5.473 Å, c = 5.473 Å
α = 90.00°, β = 90.00°, γ = 90.00°
Element x y z (fractional)
Na: 0.000 0.000 0.000
La: 0.000 0.500 0.500
La: 0.500 0.000 0.500
La: 0.500 0.500 0.000
Cr: 0.500 0.500 0.500

Entry 11:
# NaLa2Cr2

NaLa2Cr2 after structural relaxation (PBE-GGA, the Alexandria database).

Calculated values
The calculation puts the energy above the most stable polymorph in this dataset at 0 meV/atom. Its density of states at the Fermi level is 1.548 states/eV/atom. Its formation energy is 244.2 kJ/mol of formula units. As for the size of the total moment: 0.0 Bohr magnetons per cell.

a = 11.845 Å, b = 11.845 Å, c = 11.845 Å
α = 163.70°, β = 163.70°, γ = 23.13°
Element x y z (fractional)
Na: 0.000 0.000 0.000
La: 0.362 0.362 0.000
La: 0.638 0.638 0.000
Cr: 0.250 0.750 0.500
Cr: 0.750 0.250 0.500

Computed values of E_tot (unit: eV/atom) for the preceding records, in sequence: -8.895, -6.375, -4.731, -9.441, -2.215, -4.800, -5.556, -5.522, -5.407, -4.823, -5.578.